Record 1
A relaxed Pu4Hg2Pt crystal, computed with GGA-PBE.

Geometry as CIF:
```
data_Pu4Hg2Pt
_symmetry_space_group_name_H-M 'P 1'
_symmetry_Int_Tables_number 1
_symmetry_space_group_name_Hall 'P 1'
_cell_length_a 4.6749
_cell_length_b 4.6749
_cell_length_c 8.9600
_cell_angle_alpha 105.12
_cell_angle_beta 105.12
_cell_angle_gamma 90.00
loop_
_atom_site_label
_atom_site_type_symbol
_atom_site_fract_x
_atom_site_fract_y
_atom_site_fract_z
_atom_site_occupancy
Pu1 Pu 0.3903 0.8903 0.7807 1
Pu2 Pu 0.6097 0.1097 0.2193 1
Hg1 Hg 0.7462 0.7462 0.4925 1
Pu3 Pu 0.1097 0.6097 0.2193 1
Pu4 Pu 0.8903 0.3903 0.7807 1
Hg2 Hg 0.2538 0.2538 0.5075 1
Pt1 Pt 0.0000 0.0000 0.0000 1
```

* energy of formation: -19.9 kJ/mol of atoms
* Fermi-level density of states: 3.612 states/eV/atom


Record 2
A relaxed GdHoSi crystal, computed with GGA-PBE.

Geometry as CIF:
```
data_GdHoSi
_symmetry_space_group_name_H-M 'P 1'
_symmetry_Int_Tables_number 1
_symmetry_space_group_name_Hall 'P 1'
_cell_length_a 4.8461
_cell_length_b 4.8461
_cell_length_c 4.8461
_cell_angle_alpha 60.00
_cell_angle_beta 60.00
_cell_angle_gamma 60.00
loop_
_atom_site_label
_atom_site_type_symbol
_atom_site_fract_x
_atom_site_fract_y
_atom_site_fract_z
_atom_site_occupancy
Ho1 Ho 0.0000 0.0000 0.0000 1
Gd1 Gd 0.5000 0.5000 0.5000 1
Si1 Si 0.2500 0.2500 0.2500 1
```

* Fermi-level density of states: 1.106 states/eV/atom
* energy above the lowest structure with this stoichiometry: 0.0 kJ per mole of atoms


Record 3
A relaxed Li4AgPb5 crystal, computed with GGA-PBE.

Geometry as CIF:
```
data_Li4AgPb5
_symmetry_space_group_name_H-M 'P 1'
_symmetry_Int_Tables_number 1
_symmetry_space_group_name_Hall 'P 1'
_cell_length_a 3.6016
_cell_length_b 3.6016
_cell_length_c 17.7419
_cell_angle_alpha 90.00
_cell_angle_beta 90.00
_cell_angle_gamma 90.00
loop_
_atom_site_label
_atom_site_type_symbol
_atom_site_fract_x
_atom_site_fract_y
_atom_site_fract_z
_atom_site_occupancy
Li1 Li 0.0000 0.0000 0.4036 1
Pb1 Pb 0.5000 0.5000 0.5000 1
Pb2 Pb 0.5000 0.5000 0.1033 1
Li2 Li 0.0000 0.0000 0.5964 1
Pb3 Pb 0.5000 0.5000 0.3040 1
Li3 Li 0.0000 0.0000 0.2080 1
Li4 Li 0.0000 0.0000 0.7920 1
Pb4 Pb 0.5000 0.5000 0.8967 1
Ag1 Ag 0.0000 0.0000 0.0000 1
Pb5 Pb 0.5000 0.5000 0.6960 1
```

* energy of formation: -18.3 kJ/mol of atoms
* Fermi-level density of states: 0.361 states/eV/atom


Record 4
A relaxed Sb2AuICl crystal, computed with GGA-PBE.

Geometry as CIF:
```
data_Sb2AuICl
_symmetry_space_group_name_H-M 'P 1'
_symmetry_Int_Tables_number 1
_symmetry_space_group_name_Hall 'P 1'
_cell_length_a 5.1417
_cell_length_b 5.1417
_cell_length_c 6.6209
_cell_angle_alpha 90.00
_cell_angle_beta 90.00
_cell_angle_gamma 90.00
loop_
_atom_site_label
_atom_site_type_symbol
_atom_site_fract_x
_atom_site_fract_y
_atom_site_fract_z
_atom_site_occupancy
I1 I 0.0000 0.0000 0.5000 1
Au1 Au 0.5000 0.5000 0.5000 1
Cl1 Cl 0.0000 0.0000 0.0000 1
Sb1 Sb 0.5000 0.0000 0.0000 1
Sb2 Sb 0.0000 0.5000 0.0000 1
```

* Fermi-level density of states: 1.231 states/eV/atom
* energy above the lowest structure with this stoichiometry: 48.3 kJ per mole of atoms


Record 5
A relaxed Ba2CaPPb crystal, computed with GGA-PBE.

Geometry as CIF:
```
data_Ba2CaPPb
_symmetry_space_group_name_H-M 'P 1'
_symmetry_Int_Tables_number 1
_symmetry_space_group_name_Hall 'P 1'
_cell_length_a 6.2445
_cell_length_b 6.2445
_cell_length_c 5.4101
_cell_angle_alpha 90.00
_cell_angle_beta 90.00
_cell_angle_gamma 90.00
loop_
_atom_site_label
_atom_site_type_symbol
_atom_site_fract_x
_atom_site_fract_y
_atom_site_fract_z
_atom_site_occupancy
Ba1 Ba 0.5000 0.0000 0.0000 1
Ca1 Ca 0.0000 0.0000 0.5000 1
Pb1 Pb 0.5000 0.5000 0.5000 1
P1 P 0.0000 0.0000 0.0000 1
Ba2 Ba 0.0000 0.5000 0.0000 1
```

* energy of formation: -63.1 kJ/mol of atoms
* Fermi-level density of states: 1.003 states/eV/atom


Record 6
A relaxed Sr2PmPb crystal, computed with GGA-PBE.

Geometry as CIF:
```
data_Sr2PmPb
_symmetry_space_group_name_H-M 'P 1'
_symmetry_Int_Tables_number 1
_symmetry_space_group_name_Hall 'P 1'
_cell_length_a 3.8326
_cell_length_b 3.8326
_cell_length_c 13.3732
_cell_angle_alpha 81.76
_cell_angle_beta 81.76
_cell_angle_gamma 60.00
loop_
_atom_site_label
_atom_site_type_symbol
_atom_site_fract_x
_atom_site_fract_y
_atom_site_fract_z
_atom_site_occupancy
Sr1 Sr 0.9139 0.9139 0.2583 1
Pm1 Pm 0.5000 0.5000 0.5000 1
Sr2 Sr 0.0861 0.0861 0.7417 1
Pb1 Pb 0.0000 0.0000 0.0000 1
```

* energy of formation: 13.0 kJ/mol of atoms
* Fermi-level density of states: 1.078 states/eV/atom


Record 7
A relaxed HoAg6Sn6 crystal, computed with GGA-PBE.

Geometry as CIF:
```
data_HoAg6Sn6
_symmetry_space_group_name_H-M 'P 1'
_symmetry_Int_Tables_number 1
_symmetry_space_group_name_Hall 'P 1'
_cell_length_a 5.8769
_cell_length_b 7.6486
_cell_length_c 7.6486
_cell_angle_alpha 78.50
_cell_angle_beta 67.41
_cell_angle_gamma 67.41
loop_
_atom_site_label
_atom_site_type_symbol
_atom_site_fract_x
_atom_site_fract_y
_atom_site_fract_z
_atom_site_occupancy
Sn1 Sn 0.3258 0.6742 0.6742 1
Sn2 Sn 0.3422 0.1578 0.1578 1
Ag1 Ag 0.0000 0.5000 0.0000 1
Ag2 Ag 0.5000 0.7433 0.2567 1
Ag3 Ag 0.5000 0.2567 0.7433 1
Sn3 Sn 0.6578 0.8422 0.8422 1
Ho1 Ho 0.0000 0.0000 0.0000 1
Sn4 Sn 0.6742 0.3258 0.3258 1
Sn5 Sn 0.0000 0.3448 0.6552 1
Ag4 Ag 0.5000 0.5000 0.0000 1
Sn6 Sn 0.0000 0.6552 0.3448 1
Ag5 Ag 0.5000 0.0000 0.5000 1
Ag6 Ag 0.0000 0.0000 0.5000 1
```

* energy of formation: -8.1 kJ/mol of atoms
* Fermi-level density of states: 0.347 states/eV/atom


Record 8
A relaxed KCa2Cu2 crystal, computed with GGA-PBE.

Geometry as CIF:
```
data_KCa2Cu2
_symmetry_space_group_name_H-M 'P 1'
_symmetry_Int_Tables_number 1
_symmetry_space_group_name_Hall 'P 1'
_cell_length_a 5.3641
_cell_length_b 5.3641
_cell_length_c 7.1385
_cell_angle_alpha 67.93
_cell_angle_beta 67.93
_cell_angle_gamma 90.00
loop_
_atom_site_label
_atom_site_type_symbol
_atom_site_fract_x
_atom_site_fract_y
_atom_site_fract_z
_atom_site_occupancy
Cu1 Cu 0.2500 0.7500 0.5000 1
Cu2 Cu 0.7500 0.2500 0.5000 1
Ca1 Ca 0.3352 0.3352 0.3296 1
K1 K 0.0000 0.0000 0.0000 1
Ca2 Ca 0.6648 0.6648 0.6704 1
```

* energy of formation: 24.6 kJ/mol of atoms
* Fermi-level density of states: 0.634 states/eV/atom
* energy above the lowest structure with this stoichiometry: 16.1 kJ per mole of atoms


Record 9
A relaxed Be2CdB crystal, computed with GGA-PBE.

Geometry as CIF:
```
data_Be2CdB
_symmetry_space_group_name_H-M 'P 1'
_symmetry_Int_Tables_number 1
_symmetry_space_group_name_Hall 'P 1'
_cell_length_a 3.9880
_cell_length_b 3.9880
_cell_length_c 6.9897
_cell_angle_alpha 73.42
_cell_angle_beta 73.42
_cell_angle_gamma 90.00
loop_
_atom_site_label
_atom_site_type_symbol
_atom_site_fract_x
_atom_site_fract_y
_atom_site_fract_z
_atom_site_occupancy
Be1 Be 0.3750 0.1250 0.2500 1
Be2 Be 0.8750 0.6250 0.7500 1
Be3 Be 0.3750 0.6250 0.2500 1
B1 B 0.5000 0.5000 0.0000 1
Cd1 Cd 0.7500 0.2500 0.5000 1
B2 B 0.2500 0.7500 0.5000 1
Be4 Be 0.3750 0.6250 0.7500 1
Cd2 Cd 0.0000 0.0000 0.0000 1
```

* energy of formation: 50.6 kJ/mol of atoms
* Fermi-level density of states: 0.279 states/eV/atom
* energy above the lowest structure with this stoichiometry: 0.0 kJ per mole of atoms


Record 10
A relaxed Te2IOF crystal, computed with GGA-PBE.

Geometry as CIF:
```
data_Te2IOF
_symmetry_space_group_name_H-M 'P 1'
_symmetry_Int_Tables_number 1
_symmetry_space_group_name_Hall 'P 1'
_cell_length_a 4.6564
_cell_length_b 4.6564
_cell_length_c 5.1590
_cell_angle_alpha 90.00
_cell_angle_beta 90.00
_cell_angle_gamma 90.00
loop_
_atom_site_label
_atom_site_type_symbol
_atom_site_fract_x
_atom_site_fract_y
_atom_site_fract_z
_atom_site_occupancy
I1 I 0.0000 0.0000 0.5000 1
O1 O 0.0000 0.0000 0.0000 1
Te1 Te 0.5000 0.0000 0.0000 1
F1 F 0.5000 0.5000 0.5000 1
Te2 Te 0.0000 0.5000 0.0000 1
```

* Fermi-level density of states: 1.021 states/eV/atom
* energy above the lowest structure with this stoichiometry: 0.0 kJ per mole of atoms


Record 11
A relaxed AlReNi crystal, computed with GGA-PBE.

Geometry as CIF:
```
data_AlReNi
_symmetry_space_group_name_H-M 'P 1'
_symmetry_Int_Tables_number 1
_symmetry_space_group_name_Hall 'P 1'
_cell_length_a 4.0089
_cell_length_b 4.0089
_cell_length_c 4.0089
_cell_angle_alpha 60.00
_cell_angle_beta 60.00
_cell_angle_gamma 60.00
loop_
_atom_site_label
_atom_site_type_symbol
_atom_site_fract_x
_atom_site_fract_y
_atom_site_fract_z
_atom_site_occupancy
Re1 Re 0.0000 0.0000 0.0000 1
Ni1 Ni 0.7500 0.7500 0.7500 1
Al1 Al 0.5000 0.5000 0.5000 1
```

* energy of formation: 22.0 kJ/mol of atoms
* Fermi-level density of states: 0.603 states/eV/atom
* energy above the lowest structure with this stoichiometry: 54.7 kJ per mole of atoms


Record 12
A relaxed TiOsPd2 crystal, computed with GGA-PBE.

Geometry as CIF:
```
data_TiOsPd2
_symmetry_space_group_name_H-M 'P 1'
_symmetry_Int_Tables_number 1
_symmetry_space_group_name_Hall 'P 1'
_cell_length_a 3.7315
_cell_length_b 3.7315
_cell_length_c 9.6699
_cell_angle_alpha 78.88
_cell_angle_beta 78.88
_cell_angle_gamma 90.00
loop_
_atom_site_label
_atom_site_type_symbol
_atom_site_fract_x
_atom_site_fract_y
_atom_site_fract_z
_atom_site_occupancy
Ti1 Ti 0.2500 0.7500 0.5000 1
Pd1 Pd 0.8750 0.8775 0.7500 1
Ti2 Ti 0.5000 0.5000 0.0000 1
Pd2 Pd 0.1225 0.6250 0.2500 1
Pd3 Pd 0.3750 0.3725 0.7500 1
Os1 Os 0.7500 0.2500 0.5000 1
Os2 Os 0.0000 0.0000 0.0000 1
Pd4 Pd 0.6275 0.1250 0.2500 1
```

* energy of formation: 11.1 kJ/mol of atoms
* Fermi-level density of states: 0.596 states/eV/atom
* energy above the lowest structure with this stoichiometry: 3.4 kJ per mole of atoms


Number 1: volume 26.0 Å³ per atom, energy -9.345 eV/atom. Number 2: volume 26.8 Å³ per atom, energy -8.498 eV/atom. Number 3: volume 23.0 Å³ per atom, energy -3.094 eV/atom. Number 4: volume 35.0 Å³ per atom, energy -2.068 eV/atom. Number 5: volume 42.2 Å³ per atom, energy -3.647 eV/atom. Number 6: volume 41.9 Å³ per atom, energy -2.821 eV/atom. Number 7: volume 22.5 Å³ per atom, energy -3.600 eV/atom. Number 8: volume 34.8 Å³ per atom, energy -2.404 eV/atom. Number 9: volume 12.7 Å³ per atom, energy -3.237 eV/atom. Number 10: volume 22.4 Å³ per atom, energy -2.839 eV/atom. Number 11: volume 15.2 Å³ per atom, energy -7.096 eV/atom. Number 12: volume 16.2 Å³ per atom, energy -7.263 eV/atom.